Entry 1:
This record from the Alexandria database describes a relaxed structure of Cs4Er3MnSe8. The functional is GGA-PBE.

CIF file:
```
data_Cs4Er3MnSe8
_cell_length_a 8.3592
_cell_length_b 8.3592
_cell_length_c 24.9801
_cell_angle_alpha 90.00
_cell_angle_beta 90.00
_cell_angle_gamma 120.00
_symmetry_space_group_name_H-M 'R -3 m'
_symmetry_Int_Tables_number 166
_symmetry_space_group_name_Hall '-R 3 2"'
loop_
_atom_site_label
_atom_site_fract_x
_atom_site_fract_y
_atom_site_fract_z
Cs1 0.0000 0.0000 0.0000
Cs2 0.0000 0.5000 0.0000
Er1 0.0000 0.5000 0.5000
Mn1 0.0000 0.0000 0.5000
Se1 0.0000 0.0000 0.2287
Se2 0.0147 0.5073 0.2259
```

Output
The raw formation energy comes out at -1.424 eV/atom. Its mass density is 5.67 Mg/m³.

***

Entry 2:
This record from the Alexandria database describes a relaxed structure of CsErMoN3. The functional is GGA-PBE.

CIF file:
```
data_CsErMoN3
_cell_length_a 13.541
_cell_length_b 3.945
_cell_length_c 8.497
_cell_angle_alpha 90.00
_cell_angle_beta 103.84
_cell_angle_gamma 90.00
_symmetry_space_group_name_H-M 'C 1 2/m 1'
_symmetry_Int_Tables_number 12
_symmetry_space_group_name_Hall '-C 2y'
loop_
_atom_site_label
_atom_site_fract_x
_atom_site_fract_y
_atom_site_fract_z
Cs1 0.143 0.000 0.068
Er1 0.161 0.000 0.565
Mo1 0.005 0.500 0.342
N1 0.015 0.000 0.334
N2 0.135 0.500 0.745
N3 0.165 0.500 0.392
```

Output
The raw formation energy comes out at -0.512 eV/atom. Its mass density is 6.60 Mg/m³.